[1]
Sm7Ho2Tm: relaxed, GGA-PBE.

a = 9.4531 Å, b = 9.4531 Å, c = 5.4893 Å
α = 90.00°, β = 90.00°, γ = 124.84°
Positions (direct):
Sm  0.0000  0.0000  0.0000
Sm  0.2106  0.4326  0.0000
Sm  0.2925  0.7075  0.5000
Sm  0.4326  0.2106  0.0000
Sm  0.5674  0.7894  0.0000
Sm  0.7075  0.2925  0.5000
Sm  0.7894  0.5674  0.0000
Ho  0.2048  0.7952  0.0000
Ho  0.7952  0.2048  0.0000
Tm  0.5000  0.5000  0.5000

Values from the calculation:
The calculation puts the calculated formation energy at 660.4 meV/atom. The density of states at the Fermi level is 1.405 states/eV/atom. Its uncorrected energy is -4.006 eV per atom.

***

[2]
Sm6Ho8Tm: relaxed, GGA-PBE.

a = 9.4161 Å, b = 9.4161 Å, c = 6.5416 Å
α = 90.00°, β = 90.00°, γ = 120.00°
Positions (direct):
Sm  0.0858  0.6785  0.0965
Sm  0.3215  0.4073  0.0965
Sm  0.4073  0.0858  0.9035
Sm  0.5927  0.9142  0.0965
Sm  0.6785  0.5927  0.9035
Sm  0.9142  0.3215  0.9035
Ho  0.0211  0.3294  0.3959
Ho  0.3084  0.9789  0.3959
Ho  0.3294  0.3084  0.6041
Ho  0.3333  0.6667  0.6578
Ho  0.6667  0.3333  0.3422
Ho  0.6706  0.6916  0.3959
Ho  0.6916  0.0211  0.6041
Ho  0.9789  0.6706  0.6041
Tm  0.0000  0.0000  0.0000

Values from the calculation:
The calculation puts the calculated formation energy at 238.4 meV/atom. The density of states at the Fermi level is 1.463 states/eV/atom. Its uncorrected energy is -4.389 eV per atom.

***

[3]
SmHo3Tm8: relaxed, GGA-PBE.

a = 6.2090 Å, b = 8.3302 Å, c = 8.3340 Å
α = 80.39°, β = 68.19°, γ = 68.14°
Positions (direct):
Sm  0.0000  0.0000  0.0000
Ho  0.4151  0.2515  0.2504
Ho  0.4999  0.5000  0.4999
Ho  0.9169  0.7498  0.7488
Tm  0.4181  0.5827  0.9157
Tm  0.4181  0.9163  0.5815
Tm  0.4991  0.1675  0.8320
Tm  0.4993  0.8325  0.1673
Tm  0.9161  0.0846  0.4177
Tm  0.9162  0.4185  0.0835
Tm  0.9995  0.3338  0.6661
Tm  0.9993  0.6661  0.3337

Values from the calculation:
The calculation puts the calculated formation energy at 2.7 meV/atom. The density of states at the Fermi level is 1.765 states/eV/atom. Its uncorrected energy is -4.516 eV per atom.

***

[4]
Sm6Ho8Tm: relaxed, GGA-PBE.

a = 8.6514 Å, b = 8.6514 Å, c = 8.6514 Å
α = 63.11°, β = 63.11°, γ = 63.11°
Positions (direct):
Sm  0.0395  0.7267  0.6056
Sm  0.2733  0.3944  0.9605
Sm  0.3944  0.9605  0.2733
Sm  0.6056  0.0394  0.7267
Sm  0.7267  0.6056  0.0394
Sm  0.9606  0.2733  0.3944
Ho  0.0768  0.0768  0.0768
Ho  0.2200  0.2465  0.6111
Ho  0.2465  0.6111  0.2200
Ho  0.3889  0.7800  0.7535
Ho  0.6111  0.2200  0.2465
Ho  0.7535  0.3889  0.7800
Ho  0.7800  0.7535  0.3889
Ho  0.9232  0.9232  0.9232
Tm  0.5000  0.5000  0.5000

Values from the calculation:
The calculation puts the calculated formation energy at 121.3 meV/atom. The density of states at the Fermi level is 1.462 states/eV/atom. Its uncorrected energy is -4.506 eV per atom.

***

[5]
SmHo2Tm: relaxed, GGA-PBE.

a = 6.6928 Å, b = 6.6928 Å, c = 6.6928 Å
α = 148.62°, β = 65.24°, γ = 124.41°
Positions (direct):
Sm  0.0000  0.0000  0.0000
Ho  0.4162  0.6642  0.7520
Ho  0.9122  0.6642  0.2480
Tm  0.4967  0.9967  0.5000

Values from the calculation:
The calculation puts the calculated formation energy at 8.7 meV/atom. The density of states at the Fermi level is 1.672 states/eV/atom. Its uncorrected energy is -4.578 eV per atom.

***

[6]
Sm19Ho4Tm6: relaxed, GGA-PBE.

a = 10.8793 Å, b = 10.8793 Å, c = 10.8793 Å
α = 109.47°, β = 109.47°, γ = 109.47°
Positions (direct):
Sm  0.0000  0.0000  0.0000
Sm  0.0000  0.2620  0.2620
Sm  0.0000  0.7380  0.7380
Sm  0.0158  0.2170  0.6739
Sm  0.2012  0.9842  0.6581
Sm  0.2170  0.6739  0.0158
Sm  0.2620  0.0000  0.2620
Sm  0.2620  0.2620  0.0000
Sm  0.3261  0.5431  0.3419
Sm  0.3419  0.3261  0.5431
Sm  0.4569  0.7830  0.7988
Sm  0.5431  0.3419  0.3261
Sm  0.6581  0.2012  0.9842
Sm  0.6739  0.0158  0.2170
Sm  0.7380  0.0000  0.7380
Sm  0.7380  0.7380  0.0000
Sm  0.7830  0.7988  0.4569
Sm  0.7988  0.4569  0.7830
Sm  0.9842  0.6581  0.2012
Ho  0.0000  0.0000  0.3585
Ho  0.0000  0.3585  0.0000
Ho  0.3585  0.0000  0.0000
Ho  0.6415  0.6415  0.6415
Tm  0.1255  0.5000  0.6255
Tm  0.3745  0.8745  0.5000
Tm  0.5000  0.3745  0.8745
Tm  0.5000  0.6255  0.1255
Tm  0.6255  0.1255  0.5000
Tm  0.8745  0.5000  0.3745

Values from the calculation:
The calculation puts the calculated formation energy at 378.5 meV/atom. The density of states at the Fermi level is 1.555 states/eV/atom. Its uncorrected energy is -4.270 eV per atom.

***

[7]
Sm5Ho4Tm2: relaxed, GGA-PBE.

a = 12.6553 Å, b = 12.6553 Å, c = 12.6553 Å
α = 164.09°, β = 138.11°, γ = 45.08°
Positions (direct):
Sm  0.0000  0.0000  0.0000
Sm  0.0543  0.3536  0.7007
Sm  0.3471  0.6464  0.7007
Sm  0.6529  0.3536  0.2993
Sm  0.9457  0.6464  0.2993
Ho  0.3118  0.5000  0.8118
Ho  0.4030  0.9030  0.5000
Ho  0.5970  0.0970  0.5000
Ho  0.6882  0.5000  0.1882
Tm  0.2696  0.7696  0.5000
Tm  0.7304  0.2304  0.5000

Values from the calculation:
The calculation puts the calculated formation energy at 217.9 meV/atom. The density of states at the Fermi level is 1.616 states/eV/atom. Its uncorrected energy is -4.405 eV per atom.

***

[8]
Sm6HoTm8: relaxed, GGA-PBE.

a = 9.4019 Å, b = 9.4019 Å, c = 6.4855 Å
α = 90.00°, β = 90.00°, γ = 120.00°
Positions (direct):
Sm  0.0905  0.6799  0.0916
Sm  0.3201  0.4105  0.0916
Sm  0.4105  0.0905  0.9084
Sm  0.5895  0.9095  0.0916
Sm  0.6799  0.5895  0.9084
Sm  0.9095  0.3201  0.9084
Ho  0.0000  0.0000  0.0000
Tm  0.0229  0.3338  0.4014
Tm  0.3109  0.9771  0.4014
Tm  0.3333  0.6667  0.6541
Tm  0.3338  0.3109  0.5986
Tm  0.6662  0.6891  0.4014
Tm  0.6667  0.3333  0.3459
Tm  0.6891  0.0229  0.5986
Tm  0.9771  0.6662  0.5986

Values from the calculation:
The calculation puts the calculated formation energy at 242.1 meV/atom. The density of states at the Fermi level is 1.429 states/eV/atom. Its uncorrected energy is -4.336 eV per atom.

***

[9]
Sm16Ho7Tm6: relaxed, GGA-PBE.

a = 11.1872 Å, b = 11.1872 Å, c = 11.1872 Å
α = 60.00°, β = 60.00°, γ = 60.00°
Positions (direct):
Sm  0.0527  0.6491  0.6491
Sm  0.1244  0.1244  0.1244
Sm  0.1244  0.1244  0.6268
Sm  0.1244  0.6268  0.1244
Sm  0.3509  0.3509  0.3509
Sm  0.3509  0.3509  0.9473
Sm  0.3509  0.9473  0.3509
Sm  0.3732  0.8756  0.8756
Sm  0.6268  0.1244  0.1244
Sm  0.6491  0.0527  0.6491
Sm  0.6491  0.6491  0.0527
Sm  0.6491  0.6491  0.6491
Sm  0.8756  0.3732  0.8756
Sm  0.8756  0.8756  0.3732
Sm  0.8756  0.8756  0.8756
Sm  0.9473  0.3509  0.3509
Ho  0.0000  0.0000  0.0000
Ho  0.0000  0.0000  0.5000
Ho  0.0000  0.5000  0.0000
Ho  0.0000  0.5000  0.5000
Ho  0.5000  0.0000  0.0000
Ho  0.5000  0.0000  0.5000
Ho  0.5000  0.5000  0.0000
Tm  0.2655  0.2655  0.7345
Tm  0.2655  0.7345  0.2655
Tm  0.2655  0.7345  0.7345
Tm  0.7345  0.2655  0.2655
Tm  0.7345  0.2655  0.7345
Tm  0.7345  0.7345  0.2655

Values from the calculation:
The calculation puts the calculated formation energy at 220.4 meV/atom. The density of states at the Fermi level is 1.418 states/eV/atom. Its uncorrected energy is -4.413 eV per atom.

***

[10]
Sm4Ho7Tm: relaxed, GGA-PBE.

a = 6.7053 Å, b = 6.7053 Å, c = 12.7148 Å
α = 115.09°, β = 115.09°, γ = 52.02°
Positions (direct):
Sm  0.0559  0.0559  0.3326
Sm  0.3648  0.3648  0.2232
Sm  0.6352  0.6352  0.7768
Sm  0.9441  0.9441  0.6674
Ho  0.0000  0.0000  0.0000
Ho  0.2125  0.2125  0.9242
Ho  0.2584  0.2584  0.6898
Ho  0.3631  0.3631  0.4948
Ho  0.6369  0.6369  0.5052
Ho  0.7416  0.7416  0.3102
Ho  0.7875  0.7875  0.0758
Tm  0.5000  0.5000  0.0000

Values from the calculation:
The calculation puts the calculated formation energy at 283.5 meV/atom. The density of states at the Fermi level is 1.698 states/eV/atom. Its uncorrected energy is -4.333 eV per atom.

***

[11]
Sm2Ho5Tm4: relaxed, GGA-PBE.

a = 6.5846 Å, b = 6.5846 Å, c = 9.1960 Å
α = 104.57°, β = 104.57°, γ = 67.30°
Positions (direct):
Sm  0.1471  0.1471  0.1230
Sm  0.8529  0.8529  0.8770
Ho  0.0000  0.0000  0.5000
Ho  0.2128  0.6519  0.2199
Ho  0.3481  0.7872  0.7801
Ho  0.6519  0.2128  0.2199
Ho  0.7872  0.3481  0.7801
Tm  0.3257  0.3257  0.5020
Tm  0.3296  0.3296  0.8751
Tm  0.6704  0.6704  0.1249
Tm  0.6743  0.6743  0.4980

Values from the calculation:
The calculation puts the calculated formation energy at 149.8 meV/atom. The density of states at the Fermi level is 1.612 states/eV/atom. Its uncorrected energy is -4.415 eV per atom.

***

[12]
Sm4HoTm2: relaxed, GGA-PBE.

a = 6.1976 Å, b = 6.5689 Å, c = 11.5180 Å
α = 90.00°, β = 105.02°, γ = 90.00°
Positions (direct):
Sm  0.0399  0.2500  0.3643
Sm  0.1493  0.2500  0.9497
Sm  0.3506  0.5083  0.2145
Sm  0.3506  0.9917  0.2145
Sm  0.6494  0.0083  0.7855
Sm  0.6494  0.4917  0.7855
Sm  0.8507  0.7500  0.0503
Sm  0.9601  0.7500  0.6357
Ho  0.1541  0.2500  0.6638
Ho  0.8459  0.7500  0.3362
Tm  0.2892  0.7500  0.9235
Tm  0.3907  0.7500  0.5042
Tm  0.6093  0.2500  0.4958
Tm  0.7108  0.2500  0.0765

Values from the calculation:
The calculation puts the calculated formation energy at 131.5 meV/atom. The density of states at the Fermi level is 1.503 states/eV/atom. Its uncorrected energy is -4.497 eV per atom.

***

[13]
Sm2HoTm5: relaxed, GGA-PBE.

a = 7.0527 Å, b = 14.1073 Å, c = 4.9805 Å
α = 90.00°, β = 90.00°, γ = 90.00°
Positions (direct):
Sm  0.2504  0.1251  0.0000
Sm  0.2496  0.6251  0.0000
Sm  0.7504  0.3749  0.0000
Sm  0.7496  0.8749  0.0000
Ho  0.0000  0.0000  0.5000
Ho  0.5000  0.5000  0.5000
Tm  0.0003  0.2502  0.5000
Tm  0.0000  0.5000  0.5000
Tm  0.9997  0.7498  0.5000
Tm  0.2503  0.3748  0.0000
Tm  0.2497  0.8748  0.0000
Tm  0.5000  0.0000  0.5000
Tm  0.5003  0.2498  0.5000
Tm  0.4997  0.7502  0.5000
Tm  0.7503  0.1252  0.0000
Tm  0.7497  0.6252  0.0000

Values from the calculation:
The calculation puts the calculated formation energy at 23.4 meV/atom. The density of states at the Fermi level is 1.336 states/eV/atom. Its uncorrected energy is -4.523 eV per atom.

***

[14]
SmHo3Tm12: relaxed, GGA-PBE.

a = 4.9517 Å, b = 4.9517 Å, c = 19.8132 Å
α = 90.00°, β = 90.00°, γ = 90.00°
Positions (direct):
Sm  0.0000  0.0000  0.0000
Ho  0.0000  0.0000  0.2507
Ho  0.0000  0.0000  0.5000
Ho  0.0000  0.0000  0.7493
Tm  0.0000  0.5000  0.1262
Tm  0.0000  0.5000  0.3755
Tm  0.0000  0.5000  0.6245
Tm  0.0000  0.5000  0.8738
Tm  0.5000  0.0000  0.1262
Tm  0.5000  0.0000  0.3755
Tm  0.5000  0.0000  0.6245
Tm  0.5000  0.0000  0.8738
Tm  0.5000  0.5000  0.0000
Tm  0.5000  0.5000  0.2510
Tm  0.5000  0.5000  0.5000
Tm  0.5000  0.5000  0.7490

Values from the calculation:
The calculation puts the calculated formation energy at 25.3 meV/atom. The density of states at the Fermi level is 1.358 states/eV/atom. Its uncorrected energy is -4.482 eV per atom.

***

[15]
SmHo5Tm2: relaxed, GGA-PBE.

a = 7.0552 Å, b = 14.1130 Å, c = 4.9789 Å
α = 90.00°, β = 90.00°, γ = 90.00°
Positions (direct):
Sm  0.0000  0.0000  0.0000
Sm  0.5000  0.5000  0.0000
Ho  0.0000  0.5000  0.0000
Ho  0.0007  0.2507  0.0000
Ho  0.2490  0.6257  0.5000
Ho  0.2510  0.1257  0.5000
Ho  0.4993  0.7507  0.0000
Ho  0.5000  0.0000  0.0000
Ho  0.5007  0.2493  0.0000
Ho  0.7490  0.8743  0.5000
Ho  0.7510  0.3743  0.5000
Ho  0.9993  0.7493  0.0000
Tm  0.2501  0.3745  0.5000
Tm  0.2499  0.8745  0.5000
Tm  0.7501  0.1255  0.5000
Tm  0.7499  0.6255  0.5000

Values from the calculation:
The calculation puts the calculated formation energy at 19.0 meV/atom. The density of states at the Fermi level is 1.169 states/eV/atom. Its uncorrected energy is -4.550 eV per atom.

***

[16]
Sm4Ho5Tm2: relaxed, GGA-PBE.

a = 8.6516 Å, b = 8.6516 Å, c = 9.1062 Å
α = 121.18°, β = 121.18°, γ = 38.18°
Positions (direct):
Sm  0.0381  0.0381  0.3508
Sm  0.3069  0.3069  0.5831
Sm  0.6931  0.6931  0.4169
Sm  0.9619  0.9619  0.6492
Ho  0.1452  0.1452  0.1255
Ho  0.2357  0.2357  0.8710
Ho  0.5000  0.5000  0.0000
Ho  0.7643  0.7643  0.1290
Ho  0.8548  0.8548  0.8745
Tm  0.3981  0.3981  0.3098
Tm  0.6019  0.6019  0.6902

Values from the calculation:
The calculation puts the calculated formation energy at 97.4 meV/atom. The density of states at the Fermi level is 1.634 states/eV/atom. Its uncorrected energy is -4.512 eV per atom.

***

[17]
Sm4HoTm4: relaxed, GGA-PBE.

a = 7.9527 Å, b = 7.9527 Å, c = 7.9527 Å
α = 95.70°, β = 95.70°, γ = 143.25°
Positions (direct):
Sm  0.0000  0.3309  0.3309
Sm  0.0000  0.6691  0.6691
Sm  0.3309  0.0000  0.3309
Sm  0.6691  0.0000  0.6691
Ho  0.0000  0.0000  0.0000
Tm  0.3341  0.3341  0.6682
Tm  0.3341  0.6659  0.0000
Tm  0.6659  0.3341  0.0000
Tm  0.6659  0.6659  0.3318

Values from the calculation:
The calculation puts the calculated formation energy at 23.4 meV/atom. The density of states at the Fermi level is 1.502 states/eV/atom. Its uncorrected energy is -4.570 eV per atom.

***

[18]
Sm6Ho2Tm: relaxed, GGA-PBE.

a = 9.9237 Å, b = 9.9237 Å, c = 3.6373 Å
α = 90.00°, β = 90.00°, γ = 123.95°
Positions (direct):
Sm  0.0118  0.3414  0.0000
Sm  0.1852  0.1852  0.5000
Sm  0.3414  0.0118  0.0000
Sm  0.6586  0.9882  0.0000
Sm  0.8148  0.8148  0.5000
Sm  0.9882  0.6586  0.0000
Ho  0.3225  0.6775  0.5000
Ho  0.6775  0.3225  0.5000
Tm  0.5000  0.5000  0.0000

Values from the calculation:
The calculation puts the calculated formation energy at 132.8 meV/atom. The density of states at the Fermi level is 1.326 states/eV/atom. Its uncorrected energy is -4.527 eV per atom.

***

[19]
Sm4HoTm2: relaxed, GGA-PBE.

a = 12.4290 Å, b = 6.7371 Å, c = 13.3921 Å
α = 67.09°, β = 29.95°, γ = 82.96°
Positions (direct):
Sm  0.0170  0.9830  0.1233
Sm  0.1267  0.3733  0.2330
Sm  0.3733  0.1267  0.2670
Sm  0.4579  0.6046  0.2551
Sm  0.5677  0.9949  0.6454
Sm  0.6046  0.4579  0.6823
Sm  0.9830  0.0170  0.8767
Sm  0.9949  0.5677  0.7921
Ho  0.4932  0.4932  0.5068
Ho  0.7432  0.7432  0.7568
Tm  0.0663  0.5486  0.0022
Tm  0.2478  0.8670  0.1837
Tm  0.5486  0.0663  0.3830
Tm  0.8670  0.2478  0.7014

Values from the calculation:
The calculation puts the calculated formation energy at 54.2 meV/atom. The density of states at the Fermi level is 1.391 states/eV/atom. Its uncorrected energy is -4.574 eV per atom.